# 1
## TaNb2Al2 (PBE)

Data for an optimized crystal structure of TaNb2Al2.

Cell and atoms, written as POSCAR:
```
TaNb2Al2
1.0
7.0099 0.0000 0.0000
0.0000 7.0099 0.0000
0.0000 0.0000 3.4888
Nb Al Ta
4 4 2
Direct
0.1748 0.6748 0.5000
0.6748 0.8252 0.5000
0.8252 0.3252 0.5000
0.3252 0.1748 0.5000
0.3742 0.8742 0.0000
0.8742 0.6258 0.0000
0.6258 0.1258 0.0000
0.1258 0.3742 0.0000
0.0000 0.0000 0.0000
0.5000 0.5000 0.0000
```

Its calculated volume is 171.43 Å³ per cell. The calculation puts the energy of formation at -29.3 kJ per mole of atoms. The symmetry is P4/mbm. As for the energy relative to the lowest polymorph listed for this composition: 0.0 meV per atom.

=====

# 2
## TaNbAl (PBE)

Data for an optimized crystal structure of TaNbAl.

Cell and atoms, written as POSCAR:
```
TaNbAl
1.0
-1.7674 -0.0199 -2.1225
-2.0968 -3.8016 1.7818
-1.4926 4.2836 1.2027
Nb Al Ta
1 1 1
Direct
0.0062 0.0000 0.0000
0.6730 0.3333 0.6667
0.3208 0.6667 0.3333
```

Its calculated volume is 52.68 Å³ per cell. The calculation puts the energy of formation at -10.1 kJ per mole of atoms. The symmetry is P3m1. As for the energy relative to the lowest polymorph listed for this composition: 50.7 meV per atom.

=====

# 3
## Ta6NbAl (PBE)

Data for an optimized crystal structure of Ta6NbAl.

Cell and atoms, written as POSCAR:
```
Ta6NbAl
1.0
-2.5356 -6.0307 3.5281
-0.5765 -6.4544 -3.6226
1.7918 -4.8745 0.7855
Ta Nb Al
6 1 1
Direct
0.0003 0.4995 0.7511
0.7487 0.0002 0.7517
0.4997 0.2512 0.2487
0.2513 0.9998 0.2483
0.9997 0.5005 0.2489
0.5003 0.7488 0.7513
0.5000 0.5000 0.5000
0.0000 0.0000 0.0000
```

Its calculated volume is 144.76 Å³ per cell. The calculation puts the energy of formation at -5.6 kJ per mole of atoms. The symmetry is P2/m. As for the energy relative to the lowest polymorph listed for this composition: 0.0 meV per atom.